[1]
First-principles (GGA-PBEsol) data for a relaxed LaAg2SbSe crystal, as listed in Alexandria.

```
5
Lattice="4.859 0.000 0.000 0.000 4.859 0.000 0.000 0.000 5.754" Properties=species:S:1:pos:R:3 pbc="T T T"
Sb 2.430 2.430 2.877
Se 0.000 0.000 0.000
Ag 0.000 2.430 0.000
Ag 2.430 0.000 0.000
La 0.000 0.000 2.877
```

Output
raw total energy	-22.053	eV per cell
space-group type	P4/mmm (123)
ΔE_f (raw)	-7.7	kcal/mol of atoms


[2]
First-principles (GGA-PBEsol) data for a relaxed LaSc2Ag crystal, as listed in Alexandria.

```
4
Lattice="-1.340 -4.260 -0.626 2.645 -1.332 3.400 -3.552 0.673 3.027" Properties=species:S:1:pos:R:3 pbc="T T T"
Ag -1.124 -2.459 2.901
La -1.776 0.336 1.514
Sc 1.323 -0.666 1.700
Sc -0.670 -2.130 -0.313
```

Output
raw total energy	-21.704	eV per cell
energy above the lowest structure with this stoichiometry	140	meV per atom
ΔH_f (0 K)	41	meV/atom
space-group type	P4/mmm (123)


[3]
First-principles (GGA-PBEsol) data for a relaxed LaSc2Ag crystal, as listed in Alexandria.

```
4
Lattice="3.456 0.000 0.000 0.000 3.456 0.000 0.000 0.000 7.894" Properties=species:S:1:pos:R:3 pbc="T T T"
Sc 0.000 0.000 6.287
Sc 0.000 0.000 1.607
Ag 1.728 1.728 0.000
La 1.728 1.728 3.947
```

Output
raw total energy	-22.266	eV per cell
energy above the lowest structure with this stoichiometry	0	meV per atom
ΔH_f (0 K)	-100	meV/atom
space-group type	P4/mmm (123)